[1]
A geometry-optimized CaLaW structure, computed with PBE-GGA.

## Properties
**Spin magnetization**: 0.66 μB/atom
**Theoretical density**: 6.5 g/cm³
**Energy above the most stable polymorph in this dataset**: 38.7 kJ/mol of atoms
**Final energy**: -5.465 eV per atom

a = 5.078 Å, b = 5.078 Å, c = 5.078 Å
α = 60.00°, β = 60.00°, γ = 60.00°
Atoms (fractional coordinates):
Ca1 0.000 0.000 0.000
La1 0.500 0.500 0.500
W1 0.250 0.250 0.250

=====

[2]
A geometry-optimized CaLaW2 structure, computed with PBE-GGA.

## Properties
**Spin magnetization**: 0.00 μB/atom
**Theoretical density**: 9.1 g/cm³
**Energy above the most stable polymorph in this dataset**: 19.3 kJ/mol of atoms
**Final energy**: -7.580 eV per atom

a = 6.240 Å, b = 6.240 Å, c = 6.240 Å
α = 147.03°, β = 130.19°, γ = 61.03°
Atoms (fractional coordinates):
Ca1 0.000 0.000 0.000
La1 0.278 0.778 0.500
W1 0.561 0.561 0.000
W2 0.721 0.221 0.500

=====

[3]
A geometry-optimized CaLaW2 structure, computed with PBE-GGA.

## Properties
**Spin magnetization**: 0.00 μB/atom
**Theoretical density**: 10.5 g/cm³
**Energy above the most stable polymorph in this dataset**: 53.4 kJ/mol of atoms
**Final energy**: -7.226 eV per atom

a = 5.908 Å, b = 5.908 Å, c = 5.908 Å
α = 139.39°, β = 139.39°, γ = 58.78°
Atoms (fractional coordinates):
Ca1 0.000 0.000 0.000
La1 0.500 0.500 0.000
W1 0.250 0.750 0.500
W2 0.750 0.250 0.500

=====

[4]
A geometry-optimized Ca2LaW structure, computed with PBE-GGA.

## Properties
**Spin magnetization**: 0.43 μB/atom
**Theoretical density**: 5.9 g/cm³
**Energy above the most stable polymorph in this dataset**: 27.1 kJ/mol of atoms
**Final energy**: -4.568 eV per atom

a = 5.445 Å, b = 5.445 Å, c = 5.445 Å
α = 60.00°, β = 60.00°, γ = 60.00°
Atoms (fractional coordinates):
Ca1 0.250 0.250 0.250
Ca2 0.750 0.750 0.750
La1 0.000 0.000 0.000
W1 0.500 0.500 0.500

=====

[5]
A geometry-optimized CaLaW2 structure, computed with PBE-GGA.

## Properties
**Spin magnetization**: 0.00 μB/atom
**Theoretical density**: 8.4 g/cm³
**Energy above the most stable polymorph in this dataset**: 21.7 kJ/mol of atoms
**Final energy**: -7.555 eV per atom

a = 4.467 Å, b = 4.467 Å, c = 8.045 Å
α = 93.86°, β = 93.86°, γ = 42.60°
Atoms (fractional coordinates):
Ca1 0.000 0.000 0.000
La1 0.223 0.223 0.607
W1 0.473 0.473 0.363
W2 0.750 0.750 0.244

=====

[6]
A geometry-optimized CaLa3W structure, computed with PBE-GGA.

## Properties
**Spin magnetization**: 0.00 μB/atom
**Theoretical density**: 5.7 g/cm³
**Energy above the most stable polymorph in this dataset**: 0.0 kJ/mol of atoms
**Final energy**: -5.577 eV per atom

a = 5.730 Å, b = 5.730 Å, c = 5.730 Å
α = 90.00°, β = 90.00°, γ = 90.00°
Atoms (fractional coordinates):
Ca1 0.000 0.000 0.000
La1 0.000 0.500 0.500
La2 0.500 0.000 0.500
La3 0.500 0.500 0.000
W1 0.500 0.500 0.500

=====

Look up the theoretical density of the fourth one. 5.9 g/cm³

=====

Among the records above, which one has the lowest energy above the most stable polymorph in this dataset? CaLa3W

=====

Look up the theoretical density of the third one. 10.5 g/cm³